Entry 1:
This record from the Alexandria database describes an optimized crystal structure of NiPtC2. The functional is PBE.

```
data_NiPtC2
_chemical_formula_sum 'Ni4 Pt4 C8'
_cell_length_a 4.5186
_cell_length_b 4.5186
_cell_length_c 9.1669
_cell_angle_alpha 90.00
_cell_angle_beta 90.00
_cell_angle_gamma 90.00
_space_group_name_H-M_alt 'I -4 2 d'
_space_group_IT_number 122
_space_group_name_Hall 'I -4 2bw'
loop_
_atom_site_label
_atom_site_type_symbol
_atom_site_fract_x
_atom_site_fract_y
_atom_site_fract_z
_atom_site_occupancy
Ni1 Ni 0.0000 0.0000 0.0000 1
Pt1 Pt 0.0000 0.0000 0.5000 1
C1 C 0.2286 0.2500 0.1250 1
```

The value obtained for the energy relative to the lowest polymorph listed for this composition is 0.0000 eV/atom. The calculation puts the formation energy at 0.91 eV/atom. The value obtained for the calculated density is 9.86 Mg/m³. The calculation puts the density of states at the Fermi level at 8.6 states/eV/cell. As for the crystal system: tetragonal.

***

Entry 2:
This record from the Alexandria database describes an optimized crystal structure of HfGaFe3. The functional is PBE.

```
data_HfGaFe3
_chemical_formula_sum 'Hf4 Ga4 Fe12'
_cell_length_a 4.6386
_cell_length_b 13.7691
_cell_length_c 4.5716
_cell_angle_alpha 90.00
_cell_angle_beta 90.00
_cell_angle_gamma 90.00
_space_group_name_H-M_alt 'C m c m'
_space_group_IT_number 63
_space_group_name_Hall '-C 2c 2'
loop_
_atom_site_label
_atom_site_type_symbol
_atom_site_fract_x
_atom_site_fract_y
_atom_site_fract_z
_atom_site_occupancy
Hf1 Hf 0.0000 0.1999 0.2500 1
Ga1 Ga 0.0000 0.4339 0.7500 1
Fe1 Fe 0.0000 0.0000 0.0000 1
Fe2 Fe 0.2369 0.3776 0.2500 1
```

The value obtained for the energy relative to the lowest polymorph listed for this composition is 0.0000 eV/atom. The calculation puts the formation energy at 0.03 eV/atom. The value obtained for the calculated density is 9.46 Mg/m³. The calculation puts the density of states at the Fermi level at 21.9 states/eV/cell. As for the crystal system: orthorhombic.

***

Entry 3:
This record from the Alexandria database describes an optimized crystal structure of CsScPb. The functional is PBE.

```
data_CsScPb
_chemical_formula_sum 'Cs4 Sc4 Pb4'
_cell_length_a 9.5729
_cell_length_b 5.4236
_cell_length_c 8.4062
_cell_angle_alpha 90.00
_cell_angle_beta 90.00
_cell_angle_gamma 90.00
_space_group_name_H-M_alt 'P n m a'
_space_group_IT_number 62
loop_
_space_group_symop_operation_xyz
'x,y,z'
'-x,-y,-z'
'-x+1/2,-y,z+1/2'
'x+1/2,y,-z+1/2'
'x+1/2,-y+1/2,-z+1/2'
'-x+1/2,y+1/2,z+1/2'
'-x,y+1/2,-z'
'x,-y+1/2,z'
loop_
_atom_site_label
_atom_site_type_symbol
_atom_site_fract_x
_atom_site_fract_y
_atom_site_fract_z
_atom_site_occupancy
Cs1 Cs 0.0183 0.2500 0.1422 1
Sc1 Sc 0.1325 0.7500 0.4304 1
Pb1 Pb 0.1755 0.2500 0.6214 1
```

The value obtained for the energy relative to the lowest polymorph listed for this composition is 0.0717 eV/atom. The calculation puts the formation energy at -0.04 eV/atom. The value obtained for the calculated density is 5.86 Mg/m³. The calculation puts the density of states at the Fermi level at 0.0 states/eV/cell. As for the crystal system: orthorhombic.

***

Entry 4:
This record from the Alexandria database describes an optimized crystal structure of Sc8Zn2Ru. The functional is PBE.

```
data_Sc8Zn2Ru
_chemical_formula_sum 'Sc16 Zn4 Ru2'
_cell_length_a 16.0454
_cell_length_b 4.8206
_cell_length_c 6.3604
_cell_angle_alpha 90.00
_cell_angle_beta 109.95
_cell_angle_gamma 90.00
_space_group_name_H-M_alt 'C 1 2/m 1'
_space_group_IT_number 12
loop_
_space_group_symop_operation_xyz
'x,y,z'
'-x,-y,-z'
'-x,y,-z'
'x,-y,z'
'x+1/2,y+1/2,z'
'-x+1/2,-y+1/2,-z'
'-x+1/2,y+1/2,-z'
'x+1/2,-y+1/2,z'
loop_
_atom_site_label
_atom_site_type_symbol
_atom_site_fract_x
_atom_site_fract_y
_atom_site_fract_z
_atom_site_occupancy
Sc1 Sc 0.0235 0.0000 0.2875 1
Sc2 Sc 0.0932 0.5000 0.9378 1
Sc3 Sc 0.1609 0.5000 0.4630 1
Sc4 Sc 0.1944 0.0000 0.7944 1
Zn1 Zn 0.1807 0.0000 0.2035 1
Ru1 Ru 0.0000 0.5000 0.5000 1
```

The value obtained for the energy relative to the lowest polymorph listed for this composition is 0.0000 eV/atom. The calculation puts the formation energy at -0.27 eV/atom. The value obtained for the calculated density is 4.25 Mg/m³. The calculation puts the density of states at the Fermi level at 17.4 states/eV/cell. As for the crystal system: monoclinic.